MgSnPdI2 | GGA-PBE | optimized geometry

Geometry as POSCAR:
```
MgSnPdI2
1.0
5.567 0.000 0.000
0.000 5.042 0.000
0.000 0.000 5.567
Sn I Pd Mg
1 2 1 1
direct
0.500 0.500 0.500 Sn
0.500 0.000 0.000 I
0.000 0.000 0.500 I
0.000 0.000 0.000 Pd
0.000 0.500 0.000 Mg
```

## Properties
ρ	5348	kg/m3
DFT total energy	-2.68	eV per atom
crystal system	tetragonal
size of the total moment	0.00	Bohr magnetons per cell

---

MgTe2PdI | GGA-PBE | optimized geometry

Geometry as POSCAR:
```
MgTe2PdI
1.0
-2.728 -0.378 4.584
-3.347 -3.493 -2.280
3.224 -4.119 1.579
Te Mg Pd I
2 1 1 1
direct
0.000 0.500 0.000 Te
0.500 0.000 0.000 Te
0.500 0.500 0.500 Mg
0.000 0.000 0.000 Pd
0.000 0.000 0.500 I
```

## Properties
ρ	5449	kg/m3
offset from the most stable computed form	0	meV per atom
DFT total energy	-2.83	eV per atom
crystal system	tetragonal
size of the total moment	0.00	Bohr magnetons per cell

---

MgTePdI2 | GGA-PBE | optimized geometry

Geometry as POSCAR:
```
MgTePdI2
1.0
5.432 0.000 0.000
0.000 5.432 0.000
0.000 0.000 5.489
Pd I Te Mg
1 2 1 1
direct
0.000 0.000 0.000 Pd
0.500 0.000 0.000 I
0.000 0.500 0.000 I
0.000 0.000 0.500 Te
0.500 0.500 0.500 Mg
```

## Properties
ρ	5251	kg/m3
offset from the most stable computed form	0	meV per atom
DFT total energy	-2.59	eV per atom
crystal system	tetragonal
size of the total moment	0.00	Bohr magnetons per cell

---

YMgPdI2 | GGA-PBE | optimized geometry

Geometry as POSCAR:
```
YMgPdI2
1.0
5.347 0.000 0.000
0.000 6.164 0.000
0.000 0.000 5.347
Pd I Y Mg
1 2 1 1
direct
0.500 0.500 0.500 Pd
0.500 0.000 0.000 I
0.000 0.000 0.500 I
0.000 0.500 0.000 Y
0.000 0.000 0.000 Mg
```

## Properties
ρ	4461	kg/m3
DFT total energy	-2.88	eV per atom
crystal system	tetragonal
size of the total moment	0.00	Bohr magnetons per cell

---

Pm2MgI | GGA-PBE | optimized geometry

Geometry as POSCAR:
```
Pm2MgI
1.0
3.778 0.000 0.000
0.000 3.778 0.000
0.000 0.000 8.414
I Pm Mg
1 2 1
direct
0.500 0.500 0.000 I
0.000 0.000 0.738 Pm
0.000 0.000 0.262 Pm
0.500 0.500 0.500 Mg
```

## Properties
ρ	6100	kg/m3
offset from the most stable computed form	0	meV per atom
DFT total energy	-3.53	eV per atom
crystal system	tetragonal
size of the total moment	0.00	Bohr magnetons per cell

---

PmMg2I8 | GGA-PBE | optimized geometry

Geometry as POSCAR:
```
PmMg2I8
1.0
7.019 -0.138 -0.118
0.804 8.988 -1.174
0.804 0.233 9.061
I Pm Mg
8 1 2
direct
0.750 0.530 0.530 I
0.781 0.039 0.718 I
0.219 0.961 0.282 I
0.721 0.215 0.215 I
0.250 0.470 0.470 I
0.279 0.785 0.785 I
0.781 0.718 0.039 I
0.219 0.282 0.961 I
0.000 0.000 0.000 Pm
0.327 0.242 0.242 Mg
0.673 0.758 0.758 Mg
```

## Properties
ρ	3488	kg/m3
DFT total energy	-2.84	eV per atom
crystal system	monoclinic
size of the total moment	0.00	Bohr magnetons per cell

---

Pm2MgI | GGA-PBE | optimized geometry

Geometry as POSCAR:
```
Pm2MgI
1.0
-3.773 -0.235 -0.540
-1.412 -2.444 -2.573
-2.301 -8.058 6.082
Pm Mg I
2 1 1
direct
0.083 0.083 0.751 Pm
0.251 0.251 0.248 Pm
0.500 0.500 0.501 Mg
0.667 0.667 0.000 I
```

## Properties
ρ	5734	kg/m3
offset from the most stable computed form	42	meV per atom
DFT total energy	-3.49	eV per atom
crystal system	trigonal
size of the total moment	0.00	Bohr magnetons per cell

---

PmMgI | GGA-PBE | optimized geometry

Geometry as POSCAR:
```
PmMgI
1.0
3.853 0.000 0.000
-1.926 3.337 0.000
0.000 0.000 16.370
I Mg Pm
2 2 2
direct
0.333 0.667 0.203 I
0.333 0.667 0.797 I
0.333 0.667 0.000 Mg
0.333 0.667 0.500 Mg
0.667 0.333 0.342 Pm
0.667 0.333 0.658 Pm
```

## Properties
ρ	4675	kg/m3
DFT total energy	-3.03	eV per atom
crystal system	hexagonal
size of the total moment	0.00	Bohr magnetons per cell

---

PmMgTlI6 | GGA-PBE | optimized geometry

Geometry as POSCAR:
```
PmMgTlI6
1.0
7.831 0.000 0.000
-3.915 6.782 0.000
0.000 0.000 15.223
I Tl Pm Mg
12 2 2 2
direct
0.985 0.360 0.635 I
0.015 0.640 0.365 I
0.360 0.985 0.135 I
0.640 0.015 0.865 I
0.624 0.640 0.135 I
0.015 0.376 0.135 I
0.376 0.360 0.865 I
0.640 0.624 0.635 I
0.985 0.624 0.865 I
0.360 0.376 0.365 I
0.376 0.015 0.635 I
0.624 0.985 0.365 I
0.000 0.000 0.000 Tl
0.000 0.000 0.500 Tl
0.667 0.333 0.250 Pm
0.333 0.667 0.750 Pm
0.667 0.333 0.750 Mg
0.333 0.667 0.250 Mg
```

## Properties
ρ	4663	kg/m3
DFT total energy	-3.11	eV per atom
crystal system	trigonal
size of the total moment	0.00	Bohr magnetons per cell

---

PrMgI4 | GGA-PBE | optimized geometry

Geometry as POSCAR:
```
PrMgI4
1.0
4.134 0.000 0.000
0.000 7.819 0.515
0.000 -1.098 7.944
I Pr Mg
4 1 1
direct
0.500 0.215 0.858 I
0.000 0.763 0.688 I
0.500 0.785 0.142 I
0.000 0.237 0.312 I
0.500 0.000 0.500 Pr
0.000 0.000 0.000 Mg
```

## Properties
ρ	4312	kg/m3
DFT total energy	-3.23	eV per atom
crystal system	monoclinic
size of the total moment	0.16	Bohr magnetons per cell

---

Pr2MgI | GGA-PBE | optimized geometry

Geometry as POSCAR:
```
Pr2MgI
1.0
-2.917 0.327 -2.221
-3.083 -1.876 0.723
-6.015 8.631 6.120
Mg I Pr
1 1 2
direct
0.000 0.000 0.000 Mg
0.500 0.500 0.500 I
0.905 0.905 0.284 Pr
0.095 0.095 0.716 Pr
```

## Properties
ρ	5114	kg/m3
offset from the most stable computed form	292	meV per atom
DFT total energy	-3.29	eV per atom
crystal system	trigonal
size of the total moment	0.00	Bohr magnetons per cell

---

PrMgI2 | GGA-PBE | optimized geometry

Geometry as POSCAR:
```
PrMgI2
1.0
4.029 0.000 0.000
2.014 3.489 0.000
2.014 1.163 11.212
I Mg Pr
2 1 1
direct
0.899 0.899 0.302 I
0.101 0.101 0.698 I
0.000 0.000 0.000 Mg
0.500 0.500 0.500 Pr
```

## Properties
ρ	4415	kg/m3
DFT total energy	-3.08	eV per atom
crystal system	trigonal
size of the total moment	0.00	Bohr magnetons per cell